[1]
{
  "formula": "In2Si2Sn",
  "functional": "PBE",
  "state": "relaxed",
  "cell": [[-2.266, 2.266, 5.804], [2.266, -2.266, 5.804], [2.266, 2.266, -5.804]],
  "species": ["In", "In", "Si", "Si", "Sn"],
  "fractional_positions": [[0.250, 0.750, 0.500], [0.750, 0.250, 0.500], [0.102, 0.102, 0.000], [0.898, 0.898, 0.000], [0.500, 0.500, 0.000]],
  "energy_ev_per_atom": -3.68,
  "raw_formation_energy_ev_per_atom": 0.38,
  "n_ef_per_ev_atom": 0.56,
  "spacegroup": "I4/mmm, No. 139"
}

[2]
{
  "formula": "Tb2NdRh",
  "functional": "PBE",
  "state": "relaxed",
  "cell": [[1.856, 1.072, 10.589], [-1.856, 1.072, 10.589], [0.000, -2.143, 10.589]],
  "species": ["Tb", "Tb", "Nd", "Rh"],
  "fractional_positions": [[0.113, 0.113, 0.113], [0.887, 0.887, 0.887], [0.000, 0.000, 0.000], [0.500, 0.500, 0.500]],
  "formation_enthalpy_0k_ev_per_atom": -0.1766,
  "energy_ev_per_atom": -5.52,
  "polymorph_energy_kj_per_mol_atoms": 29.9,
  "n_ef_per_ev_atom": 1.39,
  "spacegroup": "R-3m, No. 166"
}

[3]
{
  "formula": "Ca2Al3H3O8",
  "functional": "PBE",
  "state": "relaxed",
  "cell": [[6.474, -4.464, 0.000], [6.474, 4.464, 0.000], [0.000, 0.000, 12.525]],
  "species": ["Ca", "Ca", "Ca", "Ca", "Ca", "Ca", "Ca", "Ca", "Al", "Al", "Al", "Al", "Al", "Al", "Al", "Al", "Al", "Al", "Al", "Al", "H", "H", "H", "H", "H", "H", "H", "H", "H", "H", "H", "H", "O", "O", "O", "O", "O", "O", "O", "O", "O", "O", "O", "O", "O", "O", "O", "O", "O", "O", "O", "O", "O", "O", "O", "O", "O", "O", "O", "O", "O", "O", "O", "O"],
  "fractional_positions": [[0.141, 0.141, 0.500], [0.214, 0.786, 0.850], [0.286, 0.714, 0.350], [0.359, 0.359, 0.000], [0.641, 0.641, 0.000], [0.714, 0.286, 0.650], [0.786, 0.214, 0.150], [0.859, 0.859, 0.500], [0.012, 0.743, 0.129], [0.136, 0.364, 0.250], [0.243, 0.512, 0.629], [0.257, 0.988, 0.129], [0.364, 0.136, 0.750], [0.488, 0.757, 0.629], [0.512, 0.243, 0.371], [0.636, 0.864, 0.250], [0.743, 0.012, 0.871], [0.757, 0.488, 0.371], [0.864, 0.636, 0.750], [0.988, 0.257, 0.871], [0.012, 0.988, 0.681], [0.017, 0.328, 0.049], [0.172, 0.483, 0.451], [0.328, 0.017, 0.951], [0.483, 0.172, 0.549], [0.488, 0.512, 0.181], [0.512, 0.488, 0.819], [0.517, 0.828, 0.451], [0.672, 0.983, 0.049], [0.828, 0.517, 0.549], [0.983, 0.672, 0.951], [0.988, 0.012, 0.319], [0.035, 0.965, 0.390], [0.051, 0.949, 0.147], [0.085, 0.639, 0.725], [0.091, 0.649, 0.998], [0.139, 0.585, 0.225], [0.149, 0.591, 0.498], [0.214, 0.227, 0.133], [0.227, 0.214, 0.867], [0.273, 0.286, 0.367], [0.286, 0.273, 0.633], [0.351, 0.909, 0.998], [0.361, 0.915, 0.725], [0.409, 0.851, 0.498], [0.415, 0.861, 0.225], [0.449, 0.551, 0.647], [0.465, 0.535, 0.890], [0.535, 0.465, 0.110], [0.551, 0.449, 0.353], [0.585, 0.139, 0.775], [0.591, 0.149, 0.502], [0.639, 0.085, 0.275], [0.649, 0.091, 0.002], [0.714, 0.727, 0.367], [0.727, 0.714, 0.633], [0.773, 0.786, 0.133], [0.786, 0.773, 0.867], [0.851, 0.409, 0.502], [0.861, 0.415, 0.775], [0.909, 0.351, 0.002], [0.915, 0.361, 0.275], [0.949, 0.051, 0.853], [0.965, 0.035, 0.610]],
  "energy_ev_per_atom": -6.59,
  "n_ef_per_ev_atom": 0.00,
  "spacegroup": "Cmce, No. 64"
}

[4]
{
  "formula": "LiNd2AgO5",
  "functional": "PBE",
  "state": "relaxed",
  "cell": [[6.784, 0.000, 0.000], [0.000, 6.784, 0.000], [0.000, 0.000, 5.920]],
  "species": ["Li", "Li", "Nd", "Nd", "Nd", "Nd", "Ag", "Ag", "O", "O", "O", "O", "O", "O", "O", "O", "O", "O"],
  "fractional_positions": [[0.000, 0.000, 0.000], [0.500, 0.500, 0.000], [0.176, 0.324, 0.500], [0.324, 0.824, 0.500], [0.676, 0.176, 0.500], [0.824, 0.676, 0.500], [0.000, 0.500, 0.000], [0.500, 0.000, 0.000], [0.000, 0.000, 0.500], [0.137, 0.637, 0.253], [0.137, 0.637, 0.747], [0.363, 0.137, 0.253], [0.363, 0.137, 0.747], [0.500, 0.500, 0.500], [0.637, 0.863, 0.253], [0.637, 0.863, 0.747], [0.863, 0.363, 0.253], [0.863, 0.363, 0.747]],
  "energy_ev_per_atom": -6.36,
  "raw_formation_energy_ev_per_atom": -2.02,
  "spacegroup": "P4/mbm, No. 127"
}

[5]
{
  "formula": "PaCuHgPd",
  "functional": "PBE",
  "state": "relaxed",
  "cell": [[0.000, 3.388, 3.388], [3.388, 0.000, 3.388], [3.388, 3.388, 0.000]],
  "species": ["Pa", "Cu", "Hg", "Pd"],
  "fractional_positions": [[0.000, 0.000, 0.000], [0.750, 0.750, 0.750], [0.500, 0.500, 0.500], [0.250, 0.250, 0.250]],
  "formation_enthalpy_0k_ev_per_atom": -0.1701,
  "energy_ev_per_atom": -4.94,
  "n_ef_per_ev_atom": 1.45,
  "spacegroup": "F-43m, No. 216"
}

[6]
{
  "formula": "Zr2AgW",
  "functional": "PBE",
  "state": "relaxed",
  "cell": [[3.380, 0.000, 0.000], [0.000, 3.408, 0.000], [0.000, 0.000, 6.901]],
  "species": ["Zr", "Zr", "Ag", "W"],
  "fractional_positions": [[0.000, 0.000, 0.229], [0.000, 0.000, 0.771], [0.500, 0.500, 0.500], [0.500, 0.500, 0.000]],
  "formation_enthalpy_0k_ev_per_atom": 0.0021,
  "energy_ev_per_atom": -8.22,
  "polymorph_energy_kj_per_mol_atoms": 0.0,
  "n_ef_per_ev_atom": 0.98,
  "spacegroup": "Pmmm, No. 47"
}

[7]
{
  "formula": "Ca2NbRh2",
  "functional": "PBE",
  "state": "relaxed",
  "cell": [[6.704, 0.000, 0.000], [0.000, 6.704, 0.000], [0.000, 0.000, 4.808]],
  "species": ["Ca", "Ca", "Ca", "Ca", "Nb", "Nb", "Rh", "Rh", "Rh", "Rh"],
  "fractional_positions": [[0.176, 0.324, 0.000], [0.324, 0.824, 0.000], [0.676, 0.176, 0.000], [0.824, 0.676, 0.000], [0.000, 0.000, 0.500], [0.500, 0.500, 0.500], [0.136, 0.636, 0.500], [0.364, 0.136, 0.500], [0.636, 0.864, 0.500], [0.864, 0.364, 0.500]],
  "formation_enthalpy_0k_ev_per_atom": -0.2140,
  "energy_ev_per_atom": -5.97,
  "polymorph_energy_kj_per_mol_atoms": 0.0,
  "n_ef_per_ev_atom": 1.16,
  "spacegroup": "P4/mbm, No. 127"
}

[8]
{
  "formula": "LiBiAu2",
  "functional": "PBE",
  "state": "relaxed",
  "cell": [[2.074, 1.198, 6.204], [-2.074, 1.198, 6.204], [0.000, -2.395, 6.204]],
  "species": ["Li", "Bi", "Au", "Au"],
  "fractional_positions": [[0.000, 0.000, 0.000], [0.173, 0.173, 0.173], [0.597, 0.597, 0.597], [0.745, 0.745, 0.745]],
  "formation_enthalpy_0k_ev_per_atom": -0.1922,
  "energy_ev_per_atom": -3.28,
  "polymorph_energy_kj_per_mol_atoms": 9.0,
  "n_ef_per_ev_atom": 0.48,
  "spacegroup": "R3m, No. 160"
}